1.
SrHg7 at its PBEsol-relaxed geometry, computed with SCAN.

a b c (Å): 6.591 6.591 6.591
angles (deg): 60.00 60.00 60.00
Sites, in units of the cell vectors:
Hg (0.000, 0.000, 0.500)
Hg (0.000, 0.500, 0.000)
Hg (0.500, 0.000, 0.000)
Hg (0.500, 0.500, 0.000)
Hg (0.500, 0.000, 0.500)
Hg (0.000, 0.500, 0.500)
Hg (0.500, 0.500, 0.500)
Sr (0.000, 0.000, 0.000)

Properties
total magnetization = 0.00 μB per cell
density = 12.23 g/cm3
formation energy from the elements = -0.226 eV/atom
calculated total energy = -62.655 eV/atom
calculated volume = 25.31 Å³ per atom
space group = Fm-3m (225)



2.
SrHg5 at its PBEsol-relaxed geometry, computed with SCAN.

a b c (Å): 4.664 4.820 7.076
angles (deg): 90.00 109.24 90.00
Sites, in units of the cell vectors:
Sr (0.000, 0.500, 0.000)
Hg (0.830, 0.000, 0.660)
Hg (0.170, 0.000, 0.340)
Hg (0.500, 0.000, 0.000)
Hg (0.326, 0.500, 0.653)
Hg (0.674, 0.500, 0.347)

Properties
total magnetization = 0.00 μB per cell
density = 12.06 g/cm3
formation energy from the elements = -0.359 eV/atom
calculated total energy = -60.877 eV/atom
calculated volume = 25.03 Å³ per atom
energy relative to the lowest polymorph listed for this composition = 21 meV per atom
space group = Cmmm (65)



3.
SrHg3 at its PBEsol-relaxed geometry, computed with SCAN.

a b c (Å): 3.904 4.025 6.766
angles (deg): 90.00 96.51 90.00
Sites, in units of the cell vectors:
Sr (0.500, 0.500, 0.000)
Hg (0.957, 0.000, 0.727)
Hg (0.500, 0.500, 0.500)
Hg (0.043, 0.000, 0.273)

Properties
total magnetization = 0.00 μB per cell
density = 10.84 g/cm3
formation energy from the elements = -0.457 eV/atom
calculated total energy = -57.150 eV/atom
calculated volume = 26.41 Å³ per atom
space group = P2/m (10)



4.
SrHg2 at its PBEsol-relaxed geometry, computed with SCAN.

a b c (Å): 4.995 6.252 6.252
angles (deg): 74.75 66.45 66.45
Sites, in units of the cell vectors:
Sr (0.534, 0.216, 0.716)
Sr (0.466, 0.784, 0.284)
Hg (0.165, 0.795, 0.875)
Hg (0.165, 0.375, 0.295)
Hg (0.835, 0.625, 0.705)
Hg (0.835, 0.205, 0.125)

Properties
total magnetization = 0.00 μB per cell
density = 9.97 g/cm3
formation energy from the elements = -0.648 eV/atom
calculated total energy = -53.517 eV/atom
calculated volume = 27.14 Å³ per atom
space group = Imma (74)



5.
Sr4Hg3 at its PBEsol-relaxed geometry, computed with SCAN.

a b c (Å): 4.020 4.020 15.197
angles (deg): 97.60 97.60 90.00
Sites, in units of the cell vectors:
Hg (0.000, 0.000, 0.000)
Hg (0.722, 0.722, 0.443)
Hg (0.278, 0.278, 0.557)
Sr (0.832, 0.832, 0.663)
Sr (0.168, 0.168, 0.337)
Sr (0.562, 0.562, 0.124)
Sr (0.438, 0.438, 0.876)

Properties
total magnetization = 0.06 μB per cell
density = 6.55 g/cm3
formation energy from the elements = -0.510 eV/atom
calculated total energy = -42.452 eV/atom
calculated volume = 34.47 Å³ per atom
space group = I4/mmm (139)



6.
SrHg5 at its PBEsol-relaxed geometry, computed with SCAN.

a b c (Å): 5.078 5.115 6.627
angles (deg): 92.99 90.00 119.76
Sites, in units of the cell vectors:
Sr (0.500, 0.000, 0.500)
Hg (0.844, 0.687, 0.762)
Hg (0.500, 0.000, 0.000)
Hg (0.156, 0.313, 0.238)
Hg (0.176, 0.351, 0.762)
Hg (0.824, 0.649, 0.238)

Properties
total magnetization = 0.00 μB per cell
density = 12.14 g/cm3
formation energy from the elements = -0.380 eV/atom
calculated total energy = -60.898 eV/atom
calculated volume = 24.86 Å³ per atom
energy relative to the lowest polymorph listed for this composition = 0 meV per atom
space group = C2/m (12)



7.
Sr2TaHg at its PBEsol-relaxed geometry, computed with SCAN.

a b c (Å): 3.454 5.554 6.804
angles (deg): 114.09 104.71 90.00
Last column: magnetic moment on the atom in μB.
Sites, in units of the cell vectors:
Hg (0.778, 0.278, 0.556)  -0.01
Sr (0.029, 0.029, 0.057)  0.03
Sr (0.233, 0.733, 0.465)  0.00
Ta (0.461, 0.461, 0.921)  0.64

Properties
total magnetization = 1.08 μB per cell
density = 8.08 g/cm3
formation energy from the elements = 0.445 eV/atom
calculated total energy = -44.380 eV/atom
calculated volume = 28.62 Å³ per atom
space group = Imm2 (44)



8.
SrTc2Hg at its PBEsol-relaxed geometry, computed with SCAN.

a b c (Å): 2.977 4.951 5.963
angles (deg): 114.53 104.46 90.00
Sites, in units of the cell vectors:
Hg (0.500, 0.000, 0.000)
Sr (0.000, 0.500, 0.000)
Tc (0.771, 0.771, 0.542)
Tc (0.229, 0.229, 0.458)

Properties
total magnetization = 0.01 μB per cell
density = 10.46 g/cm3
formation energy from the elements = 0.909 eV/atom
calculated total energy = -39.231 eV/atom
calculated volume = 19.22 Å³ per atom
space group = Immm (71)



9.
Sr3TcHg at its PBEsol-relaxed geometry, computed with SCAN.

a b c (Å): 5.974 5.974 5.974
angles (deg): 90.00 90.00 90.00
Last column: magnetic moment on the atom in μB.
Sites, in units of the cell vectors:
Sr (0.000, 0.500, 0.000)  -0.03
Sr (0.000, 0.000, 0.500)  -0.03
Sr (0.500, 0.000, 0.000)  -0.03
Hg (0.000, 0.000, 0.000)  -0.02
Tc (0.500, 0.500, 0.500)  3.73

Properties
total magnetization = 3.67 μB per cell
density = 4.37 g/cm3
formation energy from the elements = 0.683 eV/atom
calculated total energy = -33.328 eV/atom
calculated volume = 42.64 Å³ per atom
space group = Pm-3m (221)



10.
SrHgTe2 at its PBEsol-relaxed geometry, computed with SCAN.

a b c (Å): 4.469 4.469 6.662
angles (deg): 109.60 109.60 90.00
Sites, in units of the cell vectors:
Hg (0.500, 0.500, 0.000)
Sr (0.250, 0.750, 0.500)
Te (0.000, 0.000, 0.000)
Te (0.750, 0.250, 0.500)

Properties
total magnetization = 0.00 μB per cell
density = 7.70 g/cm3
formation energy from raw total energies = -69.6 kJ per mole of atoms
calculated total energy = -41.957 eV/atom
calculated volume = 29.28 Å³ per atom
space group = I-4m2 (119)



11.
Sr2HgTe at its PBEsol-relaxed geometry, computed with SCAN.

a b c (Å): 4.545 4.545 8.397
angles (deg): 74.30 74.30 60.00
Last column: magnetic moment on the atom in μB.
Sites, in units of the cell vectors:
Hg (0.500, 0.500, 0.500)  0.07
Sr (0.748, 0.748, 0.755)  0.04
Sr (0.252, 0.252, 0.245)  0.04
Te (0.000, 0.000, 0.000)  0.01

Properties
total magnetization = 0.58 μB per cell
density = 5.86 g/cm3
formation energy from raw total energies = -110.6 kJ per mole of atoms
calculated total energy = -38.638 eV/atom
calculated volume = 35.67 Å³ per atom
space group = R-3m (166)



12.
SrHg4Te at its PBEsol-relaxed geometry, computed with SCAN.

a b c (Å): 6.119 6.119 6.119
angles (deg): 60.00 60.00 60.00
Sites, in units of the cell vectors:
Hg (0.374, 0.374, 0.374)
Hg (0.374, 0.374, 0.877)
Hg (0.877, 0.374, 0.374)
Hg (0.374, 0.877, 0.374)
Sr (0.750, 0.750, 0.750)
Te (0.000, 0.000, 0.000)

Properties
total magnetization = 0.00 μB per cell
density = 10.43 g/cm3
formation energy from raw total energies = -37.9 kJ per mole of atoms
calculated total energy = -55.758 eV/atom
calculated volume = 27.01 Å³ per atom
space group = F-43m (216)